Record 1
! PBE Cd2InSb, relaxed; values from VASP
! E_form (uncorrected), eV/atom: 0.09
&SYSTEM
  ibrav = 0, nat = 8, ntyp = 3
/
ATOMIC_SPECIES
Sb 121.76 Sb.upf
Cd 112.41 Cd.upf
In 114.82 In.upf
ATOMIC_POSITIONS angstrom
Sb 0.000 0.000 0.000
Sb -1.503 7.491 5.461
Cd -1.277 5.818 3.013
Cd -1.193 0.889 6.396
Cd -0.720 5.285 7.294
Cd -2.737 8.446 11.950
In -1.977 3.194 4.491
In -1.461 2.728 8.866
CELL_PARAMETERS angstrom
-2.019 7.957 1.086
-1.935 -1.568 7.897
0.990 3.831 5.344

=====

Record 2
! PBE LiCdTe, relaxed; values from VASP
! E_form (uncorrected), eV/atom: -0.37
&SYSTEM
  ibrav = 0, nat = 3, ntyp = 3
/
ATOMIC_SPECIES
Cd 112.41 Cd.upf
Li 6.94 Li.upf
Te 127.60 Te.upf
ATOMIC_POSITIONS angstrom
Cd 0.000 0.000 0.029
Li 2.246 1.297 1.719
Te 0.000 2.594 2.602
CELL_PARAMETERS angstrom
4.493 0.000 0.000
-2.246 3.891 0.000
0.000 0.000 4.351

=====

Record 3
! PBE Ba2DyAlSe5, relaxed; values from VASP
! E_form (uncorrected), eV/atom: -1.73
&SYSTEM
  ibrav = 0, nat = 18, ntyp = 4
/
ATOMIC_SPECIES
Ba 137.33 Ba.upf
Dy 162.50 Dy.upf
Al 26.98 Al.upf
Se 78.96 Se.upf
ATOMIC_POSITIONS angstrom
Ba -11.115 4.924 5.757
Ba -6.628 6.351 2.716
Ba -3.666 2.516 2.387
Ba -5.785 -1.905 5.103
Dy -8.038 2.347 4.166
Dy -1.737 -1.240 3.290
Al -9.653 8.331 0.891
Al -6.791 1.214 7.482
Se -2.630 -2.537 5.567
Se -10.149 6.882 2.801
Se -7.940 7.181 -0.248
Se -7.771 4.833 5.504
Se -9.184 1.122 6.699
Se -6.812 3.224 1.844
Se -5.476 1.625 5.459
Se -5.967 -0.847 8.272
Se -4.342 -0.768 2.273
Se -0.548 -0.068 0.751
CELL_PARAMETERS angstrom
-2.897 -2.040 -2.298
-2.220 -2.745 9.115
-8.368 10.586 1.150

=====

Record 4
! PBE PaSnPd, relaxed; values from VASP
! ΔH_f (0 K), eV per atom: -0.527
&SYSTEM
  ibrav = 0, nat = 3, ntyp = 3
/
ATOMIC_SPECIES
Pa 231.04 Pa.upf
Sn 118.71 Sn.upf
Pd 106.42 Pd.upf
ATOMIC_POSITIONS angstrom
Pa 4.715 2.722 1.925
Sn 0.000 0.000 0.000
Pd 2.358 1.361 0.963
CELL_PARAMETERS angstrom
4.715 0.000 0.000
2.358 4.084 0.000
2.358 1.361 3.850